Material: Nb2Hg2O7
Method: DFT, PBE
State: relaxed

a b c (Å): 10.6570 10.6570 10.6570
angles (deg): 90.00 90.00 90.00
Space group Fd-3m (No. 227, origin choice 2)
Symmetry-distinct sites (fractional):
Nb 0.0000 0.0000 0.0000 [16 per cell]
Hg 0.0000 0.0000 0.5000 [16 per cell]
O 0.0642 0.3750 0.3750 [48 per cell]
O 0.1250 0.1250 0.6250 [8 per cell]

Calculated values
Crystal system: cubic
E_form (uncorrected): -1.721 eV/atom
V: 13.754 A^3/atom